# PuNi2Sn

A geometry-optimized PuNi2Sn structure (GGA-PBE, Alexandria).

Final energy, eV/f.u.: -30.2
Fermi-level density of states, states/eV/atom: 2.03
Crystal system: tetragonal

Geometry as POSCAR:
```
PuNi2Sn
1.0
3.1421 0.0000 0.0000
0.0000 3.1421 0.0000
0.0000 0.0000 6.9577
Pu Ni Sn
1 2 1
Cartesian
0.0000 0.0000 0.0000
1.5710 1.5710 2.0049
1.5710 1.5710 4.9528
0.0000 0.0000 3.4789
```

# PuMgZn4

A geometry-optimized PuMgZn4 structure (GGA-PBE, Alexandria).

Fermi-level density of states, states/eV/atom: 1.91
Energy relative to the lowest polymorph listed for this composition, eV/atom: 0.043
Crystal system: cubic

Geometry as POSCAR:
```
PuMgZn4
1.0
0.0000 3.8119 3.8119
3.8119 0.0000 3.8119
3.8119 3.8119 0.0000
Pu Mg Zn
1 1 4
Cartesian
0.0000 0.0000 0.0000
5.7178 5.7178 5.7178
2.8581 2.8581 2.8581
4.7656 4.7656 2.8581
4.7656 2.8581 4.7656
2.8581 4.7656 4.7656
```

# AcPIr2

A geometry-optimized AcPIr2 structure (GGA-PBE, Alexandria).

Final energy, eV/f.u.: -29.9
Fermi-level density of states, states/eV/atom: 0.69
Crystal system: orthorhombic

Geometry as POSCAR:
```
AcPIr2
1.0
5.5816 0.0000 0.0000
0.0000 7.3554 0.0000
0.0000 0.0000 4.4413
Ac P Ir
2 2 4
Cartesian
0.0000 0.0000 0.0000
2.7908 3.6777 0.0000
0.0000 3.6777 2.2207
2.7908 0.0000 2.2207
1.3954 1.8389 2.2207
1.3954 5.5166 2.2207
4.1862 1.8389 2.2207
4.1862 5.5166 2.2207
```

# BaYTa3

A geometry-optimized BaYTa3 structure (GGA-PBE, Alexandria).

Fermi-level density of states, states/eV/atom: 1.68
Energy relative to the lowest polymorph listed for this composition, eV/atom: 0.000
Crystal system: cubic

Geometry as POSCAR:
```
BaYTa3
1.0
5.2209 0.0000 0.0000
0.0000 5.2209 0.0000
0.0000 0.0000 5.2209
Ba Y Ta
1 1 3
Cartesian
0.0000 0.0000 0.0000
2.6105 2.6105 2.6105
0.0000 2.6105 2.6105
2.6105 0.0000 2.6105
2.6105 2.6105 0.0000
```

Total magnetization / μB per atom: 1.30 0.94 0.00 0.19
Density / g cm⁻³: 11.6 7.9 11.7 9.0